Record 1
Tm2MgPt3 | the Alexandria database | GGA-PBE | relaxed; formation energy = -1.15 eV/atom; symmetry = P4/mmm, No. 123; final energy = -5.924 eV per atom
1.0
3.374 0.000 0.000
0.000 3.374 0.000
0.000 0.000 10.045
Tm Mg Pt
2 1 3
direct
0.000 0.000 0.178
0.000 0.000 0.822
0.000 0.000 0.500
0.500 0.500 0.000
0.500 0.500 0.348
0.500 0.500 0.652


Record 2
NdHoMgSc | the Alexandria database | GGA-PBE | relaxed; formation energy = 0.02 eV/atom; symmetry = F-43m, No. 216; final energy = -4.295 eV per atom; distance to the lowest polymorph of the same formula = 25.6 meV/atom
1.0
7.680 0.000 0.000
0.000 7.680 0.000
0.000 0.000 7.680
Nd Ho Mg Sc
4 4 4 4
direct
0.000 0.000 0.000
0.000 0.500 0.500
0.500 0.000 0.500
0.500 0.500 0.000
0.000 0.000 0.500
0.000 0.500 0.000
0.500 0.000 0.000
0.500 0.500 0.500
0.250 0.250 0.250
0.250 0.750 0.750
0.750 0.250 0.750
0.750 0.750 0.250
0.250 0.250 0.750
0.250 0.750 0.250
0.750 0.250 0.250
0.750 0.750 0.750


Q: Among the records above, which one has the lowest final energy?
A: Tm2MgPt3


Q: formation energy of number 2 (NdHoMgSc)?
A: 0.02 eV/atom